[1]
## TlIrSe2 (PBE-GGA)

Data for a geometry-optimized TlIrSe2 structure.

The raw total energy is -4.8570 eV/atom. The value obtained for the spin magnetization is 0.00 μB per cell. The calculation puts the uncorrected formation energy at -308 meV/atom. Its excess energy over the best structure of this formula in the dataset is 0.00 eV per formula unit.

It has space group P-3m1 (No. 164), with a = 3.8644 Å, b = 3.8644 Å, c = 7.4274 Å, α = 90.00°, β = 90.00° and γ = 120.00°. The distinct sites, in fractional coordinates, are Tl at (0.0000, 0.0000, 0.0000), Ir at (0.0000, 0.0000, 0.5000) and Se at (0.3333, 0.6667, 0.6623).

---

[2]
## Ce2Al2ZnIr5 (PBE-GGA)

Data for a geometry-optimized Ce2Al2ZnIr5 structure.

The raw total energy is -7.0976 eV/atom. The value obtained for the spin magnetization is 0.53 μB per cell. The calculation puts the energy of formation from the pure elements at -583 kJ/mol of formula units.

It has space group P4/mbm (No. 127), with a = 9.701 Å, b = 9.701 Å, c = 3.657 Å, α = 90.00°, β = 90.00° and γ = 90.00°. The distinct sites, in fractional coordinates, are Ce at (0.178, 0.322, 0.000), Al at (0.122, 0.622, 0.000), Zn at (0.000, 0.000, 0.000), Ir at (0.000, 0.500, 0.500) and Ir at (0.068, 0.794, 0.500).

---

[3]
## KPm4Sn5 (PBE-GGA)

Data for a geometry-optimized KPm4Sn5 structure.

The raw total energy is -4.5599 eV/atom. The value obtained for the spin magnetization is 1.02 μB per cell. The calculation puts the energy of formation from the pure elements at -529 kJ/mol of formula units.

It has space group P4/mmm (No. 123), with a = 4.136 Å, b = 4.136 Å, c = 17.893 Å, α = 90.00°, β = 90.00° and γ = 90.00°. The distinct sites, in fractional coordinates, are K at (0.000, 0.000, 0.000), Pm at (0.000, 0.000, 0.217), Pm at (0.000, 0.000, 0.407), Sn at (0.500, 0.500, 0.137), Sn at (0.500, 0.500, 0.311) and Sn at (0.500, 0.500, 0.500).

---

[4]
## CaCuRe2Rh (PBE-GGA)

Data for a geometry-optimized CaCuRe2Rh structure.

The raw total energy is -6.3517 eV/atom. The value obtained for the spin magnetization is 1.51 μB per cell. The calculation puts the energy of formation from the pure elements at 636 kJ/mol of formula units.

It has space group P4/mmm (No. 123), with a = 4.731 Å, b = 4.731 Å, c = 4.807 Å, α = 90.00°, β = 90.00° and γ = 90.00°. The distinct sites, in fractional coordinates, are Ca at (0.000, 0.000, 0.000), Cu at (0.500, 0.500, 0.000), Re at (0.000, 0.500, 0.500) and Rh at (0.500, 0.500, 0.500).

---

[5]
## NaBeIn2Se4 (PBE-GGA)

Data for a geometry-optimized NaBeIn2Se4 structure.

The raw total energy is -3.7104 eV/atom. The value obtained for the spin magnetization is 0.00 μB per cell. The calculation puts the uncorrected formation energy at -653 meV/atom.

It has space group Fmm2 (No. 42), with a = 8.630 Å, b = 9.996 Å, c = 9.597 Å, α = 90.00°, β = 90.00° and γ = 90.00°. The distinct sites, in fractional coordinates, are Na at (0.000, 0.000, 0.000), Be at (0.000, 0.000, 0.446), In at (0.250, 0.250, 0.215), Se at (0.000, 0.208, 0.545) and Se at (0.219, 0.000, 0.323).

---

[6]
## MnCu2Ag (PBE-GGA)

Data for a geometry-optimized MnCu2Ag structure.

The raw total energy is -4.9054 eV/atom. The value obtained for the spin magnetization is 3.71 μB per cell. The calculation puts the energy of formation from the pure elements at 57 kJ/mol of formula units. Its excess energy over the best structure of this formula in the dataset is 0.00 eV per formula unit.

It has space group P4/mmm (No. 123), with a = 3.045 Å, b = 3.045 Å, c = 6.082 Å, α = 90.00°, β = 90.00° and γ = 90.00°. The distinct sites, in fractional coordinates, are Mn at (0.000, 0.000, 0.000), Cu at (0.500, 0.500, 0.228) and Ag at (0.000, 0.000, 0.500).

---

[7]
## ThNpTe2O (PBE-GGA)

Data for a geometry-optimized ThNpTe2O structure.

The raw total energy is -7.9477 eV/atom. The value obtained for the spin magnetization is 7.08 μB per cell. The calculation puts the uncorrected formation energy at -1627 meV/atom.

It has space group P4/nmm (No. 129, origin choice 2), with a = 4.218 Å, b = 4.218 Å, c = 14.525 Å, α = 90.00°, β = 90.00° and γ = 90.00°. The distinct sites, in fractional coordinates, are Th at (0.250, 0.250, 0.088), Np at (0.250, 0.250, 0.573), Te at (0.250, 0.250, 0.314), Te at (0.250, 0.250, 0.858) and O at (0.250, 0.750, 0.500).

---

[8]
## Ba2TiAgSn (PBE-GGA)

Data for a geometry-optimized Ba2TiAgSn structure.

The raw total energy is -3.1968 eV/atom. The value obtained for the spin magnetization is 2.28 μB per cell. The calculation puts the energy of formation from the pure elements at 252 kJ/mol of formula units.

It has space group P4/mmm (No. 123), with a = 6.276 Å, b = 6.276 Å, c = 5.003 Å, α = 90.00°, β = 90.00° and γ = 90.00°. The distinct sites, in fractional coordinates, are Ba at (0.000, 0.500, 0.000), Ti at (0.000, 0.000, 0.000), Ag at (0.000, 0.000, 0.500) and Sn at (0.500, 0.500, 0.500).

---

[9]
## V2RuBr2 (PBE-GGA)

Data for a geometry-optimized V2RuBr2 structure.

The raw total energy is -5.3783 eV/atom. The value obtained for the spin magnetization is 2.96 μB per cell. The calculation puts the uncorrected formation energy at 793 meV/atom. Its excess energy over the best structure of this formula in the dataset is 0.96 eV per formula unit.

It has space group I4/mmm (No. 139), with a = 4.203 Å, b = 4.203 Å, c = 10.610 Å, α = 90.00°, β = 90.00° and γ = 90.00°. The distinct sites, in fractional coordinates, are V at (0.000, 0.000, 0.096), Ru at (0.000, 0.000, 0.500) and Br at (0.000, 0.500, 0.250).

---

[10]
## Tb3Pr2Er6In (PBE-GGA)

Data for a geometry-optimized Tb3Pr2Er6In structure.

The raw total energy is -4.5216 eV/atom. The value obtained for the spin magnetization is 0.00 μB per cell. The calculation puts the energy of formation from the pure elements at -67 kJ/mol of formula units.

It has space group C2/m (No. 12), with a = 6.082 Å, b = 10.539 Å, c = 11.702 Å, α = 90.00°, β = 100.02° and γ = 90.00°. The distinct sites, in fractional coordinates, are Tb at (0.000, 0.000, 0.000), Tb at (0.000, 0.333, 0.000), Pr at (0.000, 0.166, 0.500), Er at (0.244, 0.500, 0.249), Er at (0.246, 0.336, 0.750) and In at (0.000, 0.500, 0.500).

---

[11]
## CoSeCl2 (PBE-GGA)

Data for a geometry-optimized CoSeCl2 structure.

The raw total energy is -3.5632 eV/atom. The value obtained for the spin magnetization is 4.68 μB per cell. The calculation puts the uncorrected formation energy at 8 meV/atom. Its excess energy over the best structure of this formula in the dataset is 1.02 eV per formula unit.

It has space group Cmm2 (No. 35), with a = 3.246 Å, b = 8.268 Å, c = 8.769 Å, α = 90.00°, β = 90.00° and γ = 90.00°. The distinct sites, in fractional coordinates, are Co at (0.000, 0.000, 0.000), Se at (0.000, 0.500, 0.815), Cl at (0.000, 0.000, 0.575) and Cl at (0.000, 0.500, 0.179).

---

[12]
## LiCoRhW (PBE-GGA)

Data for a geometry-optimized LiCoRhW structure.

The raw total energy is -7.3373 eV/atom. The value obtained for the spin magnetization is 2.70 μB per cell. The calculation puts the energy of formation from the pure elements at -2 kJ/mol of formula units.

It has space group F-43m (No. 216), with a = 5.938 Å, b = 5.938 Å, c = 5.938 Å, α = 90.00°, β = 90.00° and γ = 90.00°. The distinct sites, in fractional coordinates, are Li at (0.000, 0.000, 0.000), Co at (0.250, 0.250, 0.750), Rh at (0.250, 0.250, 0.250) and W at (0.000, 0.000, 0.500).